Model a:
A plane-wave DFT calculation with PBE was carried out for crystalline Mn2FeIr at its relaxed geometry.

Computed properties:
* magnetization: 26.8 μB per cell

```
data_Mn2FeIr
_symmetry_space_group_name_H-M 'F -4 3 m'
_symmetry_Int_Tables_number 216
_symmetry_space_group_name_Hall 'F -4 2 3'
_cell_length_a 5.864
_cell_length_b 5.864
_cell_length_c 5.864
_cell_angle_alpha 90.00
_cell_angle_beta 90.00
_cell_angle_gamma 90.00
loop_
_atom_site_label
_atom_site_type_symbol
_atom_site_fract_x
_atom_site_fract_y
_atom_site_fract_z
Mn1 Mn 0.000 0.000 0.000
Mn2 Mn 0.250 0.250 0.250
Fe1 Fe 0.000 0.000 0.500
Ir1 Ir 0.250 0.250 0.750
```



Model b:
A plane-wave DFT calculation with PBE was carried out for crystalline Mn2FeIr at its relaxed geometry.

Computed properties:
* magnetization: 1.0 μB per cell

```
data_Mn2FeIr
_symmetry_space_group_name_H-M 'P 1 m 1'
_symmetry_Int_Tables_number 6
_symmetry_space_group_name_Hall 'P -2y'
_cell_length_a 2.621
_cell_length_b 3.666
_cell_length_c 5.159
_cell_angle_alpha 90.00
_cell_angle_beta 90.08
_cell_angle_gamma 90.00
loop_
_atom_site_label
_atom_site_type_symbol
_atom_site_fract_x
_atom_site_fract_y
_atom_site_fract_z
Mn1 Mn 0.000 0.000 0.000
Mn2 Mn 0.500 0.500 0.249
Fe1 Fe 0.000 0.000 0.496
Ir1 Ir 0.500 0.500 0.744
```



Model c:
A plane-wave DFT calculation with PBE was carried out for crystalline Mn2FeIr at its relaxed geometry.

Computed properties:
* magnetization: 1.3 μB per cell

```
data_Mn2FeIr
_symmetry_space_group_name_H-M 'P m m m'
_symmetry_Int_Tables_number 47
_symmetry_space_group_name_Hall '-P 2 2'
_cell_length_a 2.601
_cell_length_b 3.631
_cell_length_c 5.122
_cell_angle_alpha 90.00
_cell_angle_beta 90.00
_cell_angle_gamma 90.00
loop_
_atom_site_label
_atom_site_type_symbol
_atom_site_fract_x
_atom_site_fract_y
_atom_site_fract_z
Mn1 Mn 0.000 0.000 0.240
Fe1 Fe 0.500 0.500 0.000
Ir1 Ir 0.500 0.500 0.500
```



Energetically preferred structure: model b | next structure: +0.023 eV/atom



Model a:
A plane-wave DFT calculation with PBE was carried out for crystalline Mn2FeIr at its relaxed geometry.

Computed properties:
* magnetization: 6.4 μB per cell

```
data_Mn2FeIr
_symmetry_space_group_name_H-M 'P 4 m m'
_symmetry_Int_Tables_number 99
_symmetry_space_group_name_Hall 'P 4 -2'
_cell_length_a 2.896
_cell_length_b 2.896
_cell_length_c 5.953
_cell_angle_alpha 90.00
_cell_angle_beta 90.00
_cell_angle_gamma 90.00
loop_
_atom_site_label
_atom_site_type_symbol
_atom_site_fract_x
_atom_site_fract_y
_atom_site_fract_z
Mn1 Mn 0.000 0.000 0.000
Mn2 Mn 0.500 0.500 0.234
Fe1 Fe 0.000 0.000 0.461
Ir1 Ir 0.500 0.500 0.731
```



Model b:
A plane-wave DFT calculation with PBE was carried out for crystalline Mn2FeIr at its relaxed geometry.

Computed properties:
* magnetization: 7.1 μB per cell

```
data_Mn2FeIr
_symmetry_space_group_name_H-M 'P 4/m m m'
_symmetry_Int_Tables_number 123
_symmetry_space_group_name_Hall '-P 4 2'
_cell_length_a 4.179
_cell_length_b 4.179
_cell_length_c 2.916
_cell_angle_alpha 90.00
_cell_angle_beta 90.00
_cell_angle_gamma 90.00
loop_
_atom_site_label
_atom_site_type_symbol
_atom_site_fract_x
_atom_site_fract_y
_atom_site_fract_z
Mn1 Mn 0.000 0.500 0.000
Fe1 Fe 0.000 0.000 0.500
Ir1 Ir 0.500 0.500 0.500
```



Model c:
A plane-wave DFT calculation with PBE was carried out for crystalline Mn2FeIr at its relaxed geometry.

Computed properties:
* magnetization: 3.0 μB per cell

```
data_Mn2FeIr
_symmetry_space_group_name_H-M 'C 1 m 1'
_symmetry_Int_Tables_number 8
_symmetry_space_group_name_Hall 'C -2y'
_cell_length_a 8.541
_cell_length_b 2.647
_cell_length_c 4.504
_cell_angle_alpha 90.00
_cell_angle_beta 100.84
_cell_angle_gamma 90.00
loop_
_atom_site_label
_atom_site_type_symbol
_atom_site_fract_x
_atom_site_fract_y
_atom_site_fract_z
Mn1 Mn 0.000 0.000 0.000
Mn2 Mn 0.246 0.500 0.229
Fe1 Fe 0.248 0.000 0.741
Ir1 Ir 0.497 0.000 0.501
```



Model d:
A plane-wave DFT calculation with PBE was carried out for crystalline Mn2FeIr at its relaxed geometry.

Computed properties:
* magnetization: 7.1 μB per cell

```
data_Mn2FeIr
_symmetry_space_group_name_H-M 'P 4/m m m'
_symmetry_Int_Tables_number 123
_symmetry_space_group_name_Hall '-P 4 2'
_cell_length_a 2.904
_cell_length_b 2.904
_cell_length_c 5.970
_cell_angle_alpha 90.00
_cell_angle_beta 90.00
_cell_angle_gamma 90.00
loop_
_atom_site_label
_atom_site_type_symbol
_atom_site_fract_x
_atom_site_fract_y
_atom_site_fract_z
Mn1 Mn 0.000 0.000 0.231
Fe1 Fe 0.500 0.500 0.000
Ir1 Ir 0.500 0.500 0.500
```



Energetically preferred structure: model c | next structure: +0.018 eV/atom



Model a:
A plane-wave DFT calculation with PBE was carried out for crystalline Mn2FeIr2 at its relaxed geometry.

Computed properties:
* magnetization: 0.0 μB per cell

```
data_Mn2FeIr2
_symmetry_space_group_name_H-M 'P 4/m b m'
_symmetry_Int_Tables_number 127
_symmetry_space_group_name_Hall '-P 4 2ab'
_cell_length_a 6.980
_cell_length_b 6.980
_cell_length_c 2.661
_cell_angle_alpha 90.00
_cell_angle_beta 90.00
_cell_angle_gamma 90.00
loop_
_atom_site_label
_atom_site_type_symbol
_atom_site_fract_x
_atom_site_fract_y
_atom_site_fract_z
Mn1 Mn 0.119 0.381 0.000
Fe1 Fe 0.000 0.000 0.000
Ir1 Ir 0.176 0.676 0.500
```



Model b:
A plane-wave DFT calculation with PBE was carried out for crystalline Mn2FeIr2 at its relaxed geometry.

Computed properties:
* magnetization: 0.0 μB per cell

```
data_Mn2FeIr2
_symmetry_space_group_name_H-M 'P 4/m b m'
_symmetry_Int_Tables_number 127
_symmetry_space_group_name_Hall '-P 4 2ab'
_cell_length_a 7.072
_cell_length_b 7.072
_cell_length_c 2.643
_cell_angle_alpha 90.00
_cell_angle_beta 90.00
_cell_angle_gamma 90.00
loop_
_atom_site_label
_atom_site_type_symbol
_atom_site_fract_x
_atom_site_fract_y
_atom_site_fract_z
Mn1 Mn 0.167 0.333 0.000
Fe1 Fe 0.000 0.000 0.500
Ir1 Ir 0.131 0.631 0.500
```



Energetically preferred structure: model a | next structure: +0.055 eV/atom



Model a:
A plane-wave DFT calculation with PBE was carried out for crystalline Mn2Fe2Ir at its relaxed geometry.

Computed properties:
* magnetization: 0.0 μB per cell

```
data_Mn2Fe2Ir
_symmetry_space_group_name_H-M 'P 4/m b m'
_symmetry_Int_Tables_number 127
_symmetry_space_group_name_Hall '-P 4 2ab'
_cell_length_a 6.673
_cell_length_b 6.673
_cell_length_c 2.577
_cell_angle_alpha 90.00
_cell_angle_beta 90.00
_cell_angle_gamma 90.00
loop_
_atom_site_label
_atom_site_type_symbol
_atom_site_fract_x
_atom_site_fract_y
_atom_site_fract_z
Mn1 Mn 0.120 0.380 0.000
Fe1 Fe 0.175 0.675 0.500
Ir1 Ir 0.000 0.000 0.000
```



Model b:
A plane-wave DFT calculation with PBE was carried out for crystalline Mn2Fe2Ir at its relaxed geometry.

Computed properties:
* magnetization: 0.0 μB per cell

```
data_Mn2Fe2Ir
_symmetry_space_group_name_H-M 'P 4/m b m'
_symmetry_Int_Tables_number 127
_symmetry_space_group_name_Hall '-P 4 2ab'
_cell_length_a 6.638
_cell_length_b 6.638
_cell_length_c 2.592
_cell_angle_alpha 90.00
_cell_angle_beta 90.00
_cell_angle_gamma 90.00
loop_
_atom_site_label
_atom_site_type_symbol
_atom_site_fract_x
_atom_site_fract_y
_atom_site_fract_z
Mn1 Mn 0.173 0.327 0.000
Fe1 Fe 0.123 0.623 0.500
Ir1 Ir 0.000 0.000 0.500
```



Energetically preferred structure: model b | next structure: +0.055 eV/atom



Model a:
A plane-wave DFT calculation with PBE was carried out for crystalline FeMoIr2 at its relaxed geometry.

Computed properties:
* magnetization: 4.6 μB per cell

```
data_FeMoIr2
_symmetry_space_group_name_H-M 'C 1 2/m 1'
_symmetry_Int_Tables_number 12
_symmetry_space_group_name_Hall '-C 2y'
_cell_length_a 9.041
_cell_length_b 2.723
_cell_length_c 4.688
_cell_angle_alpha 90.00
_cell_angle_beta 100.03
_cell_angle_gamma 90.00
loop_
_atom_site_label
_atom_site_type_symbol
_atom_site_fract_x
_atom_site_fract_y
_atom_site_fract_z
Fe1 Fe 0.000 0.000 0.000
Mo1 Mo 0.000 0.500 0.500
Ir1 Ir 0.248 0.500 0.245
```



Model b:
A plane-wave DFT calculation with PBE was carried out for crystalline FeMoIr2 at its relaxed geometry.

Computed properties:
* magnetization: 0.0 μB per cell

```
data_FeMoIr2
_symmetry_space_group_name_H-M 'F m -3 m'
_symmetry_Int_Tables_number 225
_symmetry_space_group_name_Hall '-F 4 2 3'
_cell_length_a 6.107
_cell_length_b 6.107
_cell_length_c 6.107
_cell_angle_alpha 90.00
_cell_angle_beta 90.00
_cell_angle_gamma 90.00
loop_
_atom_site_label
_atom_site_type_symbol
_atom_site_fract_x
_atom_site_fract_y
_atom_site_fract_z
Fe1 Fe 0.000 0.000 0.000
Mo1 Mo 0.000 0.000 0.500
Ir1 Ir 0.250 0.250 0.250
```



Model c:
A plane-wave DFT calculation with PBE was carried out for crystalline FeMoIr2 at its relaxed geometry.

Computed properties:
* magnetization: 7.1 μB per cell

```
data_FeMoIr2
_symmetry_space_group_name_H-M 'R 3 m'
_symmetry_Int_Tables_number 160
_symmetry_space_group_name_Hall 'R 3 -2"'
_cell_length_a 2.7336
_cell_length_b 2.7336
_cell_length_c 26.6139
_cell_angle_alpha 90.00
_cell_angle_beta 90.00
_cell_angle_gamma 120.00
loop_
_atom_site_label
_atom_site_type_symbol
_atom_site_fract_x
_atom_site_fract_y
_atom_site_fract_z
Fe1 Fe 0.0000 0.0000 0.0000
Mo1 Mo 0.0000 0.0000 0.2481
Ir1 Ir 0.0000 0.0000 0.4988
Ir2 Ir 0.0000 0.0000 0.7439
```



Energetically preferred structure: model a | next structure: +0.136 eV/atom



Model a:
A plane-wave DFT calculation with PBE was carried out for crystalline FeMoIr3 at its relaxed geometry.

Computed properties:
* magnetization: 9.4 μB per cell

```
data_FeMoIr3
_symmetry_space_group_name_H-M 'P n n a'
_symmetry_Int_Tables_number 52
_symmetry_space_group_name_Hall '-P 2a 2bc'
_cell_length_a 12.124
_cell_length_b 4.955
_cell_length_c 4.936
_cell_angle_alpha 90.00
_cell_angle_beta 90.00
_cell_angle_gamma 90.00
loop_
_atom_site_label
_atom_site_type_symbol
_atom_site_fract_x
_atom_site_fract_y
_atom_site_fract_z
Fe1 Fe 0.037 0.250 0.250
Mo1 Mo 0.250 0.000 0.124
Ir1 Ir 0.045 0.750 0.250
Ir2 Ir 0.145 0.007 0.628
```



Model b:
A plane-wave DFT calculation with PBE was carried out for crystalline FeMoIr3 at its relaxed geometry.

Computed properties:
* magnetization: 0.2 μB per cell

```
data_FeMoIr3
_symmetry_space_group_name_H-M 'P m -3 m'
_symmetry_Int_Tables_number 221
_symmetry_space_group_name_Hall '-P 4 2 3'
_cell_length_a 4.685
_cell_length_b 4.685
_cell_length_c 4.685
_cell_angle_alpha 90.00
_cell_angle_beta 90.00
_cell_angle_gamma 90.00
loop_
_atom_site_label
_atom_site_type_symbol
_atom_site_fract_x
_atom_site_fract_y
_atom_site_fract_z
Fe1 Fe 0.000 0.000 0.000
Mo1 Mo 0.500 0.500 0.500
Ir1 Ir 0.000 0.500 0.500
```



Energetically preferred structure: model a | next structure: +1.987 eV/atom